The following is a DFT calculation (PBE with a Hubbard U) of a relaxed structure of NaFeBr2O.

a b c (Å): 5.459 5.459 3.704
angles (deg): 90.00 90.00 90.00
Space group P4/mmm (No. 123)
One atom of each set of equivalent atoms:
1 Na 0.000 0.000 0.000
2 Fe 0.500 0.500 0.500
3 Br 0.000 0.500 0.500
4 O 0.500 0.500 0.000

size of the total moment	5.0	Bohr magnetons per cell
calculated total energy	-4.041	eV per atom